No. 1
Here is a relaxed Sm4Er11Tm9 crystal from Alexandria. Energies are from PBE.

```
24
Lattice="3.495 0.000 0.000 0.000 14.228 -3.164 0.000 2.682 14.326" Properties=species:S:1:pos:R:3 pbc="T T T"
Tm 1.747 7.687 11.288
Sm 1.747 7.154 2.569
Tm 1.747 9.222 -0.126
Tm 1.747 13.883 11.298
Er 0.000 4.071 2.688
Tm 1.747 15.845 8.326
Sm 1.747 5.174 5.568
Tm 1.747 1.065 2.836
Er 0.000 10.285 2.809
Er 0.000 12.275 -0.206
Er 0.000 6.624 8.354
Tm 1.747 3.027 -0.136
Tm 1.747 3.508 8.530
Sm 1.747 11.736 5.594
Er 0.000 4.635 11.368
Sm 1.747 9.756 8.593
Er 0.000 0.000 0.000
Er 0.000 2.217 5.693
Er 0.000 10.803 11.361
Tm 1.747 8.455 5.581
Er 0.000 12.838 8.475
Er 0.000 14.693 5.469
Er 0.000 6.106 -0.199
Tm 1.747 13.401 2.633
```

Properties
Density of states at the Fermi level ... 1.43 states/eV/atom
Space group ... Cmmm (65)
DFT total energy ... -107.90 eV for the cell shown

No. 2
Here is a relaxed Sm5Er12Tm2 crystal from Alexandria. Energies are from PBE.

```
19
Lattice="9.220 0.000 0.000 -4.610 7.656 1.071 0.000 -1.493 8.422" Properties=species:S:1:pos:R:3 pbc="T T T"
Er 7.567 1.908 2.334
Tm 6.207 0.000 0.000
Er 2.853 0.982 5.915
Sm 4.610 3.480 4.187
Er -2.956 4.255 7.159
Sm 0.000 2.683 5.305
Er -1.757 5.181 3.578
Tm 3.014 0.000 0.000
Er 4.610 6.336 1.965
Er 0.000 -0.174 7.527
Er 1.757 5.181 3.578
Sm 0.000 -0.747 4.211
Er 1.654 1.908 2.334
Er 0.000 5.801 6.549
Er 4.610 0.362 2.944
Sm 0.000 3.028 8.892
Sm 4.610 3.135 0.601
Er 6.367 0.982 5.915
Er 2.956 4.255 7.159
```

Properties
Density of states at the Fermi level ... 1.30 states/eV/atom
Space group ... C2/m (12)
DFT total energy ... -85.02 eV for the cell shown

No. 3
Here is a relaxed Sm4Er10Tm crystal from Alexandria. Energies are from PBE.

```
15
Lattice="7.159 0.000 3.233 3.580 7.912 1.616 0.323 0.000 8.828" Properties=species:S:1:pos:R:3 pbc="T T T"
Er 4.385 1.650 3.790
Sm 3.579 4.290 1.618
Er 6.677 6.262 9.887
Er 7.321 3.956 7.647
Sm 5.394 7.910 7.142
Sm 5.668 0.002 6.535
Er 3.098 1.649 8.270
Er 1.417 1.650 2.449
Er 9.646 6.262 11.228
Er 7.965 6.263 5.407
Er 3.741 3.956 6.030
Sm 7.483 3.623 12.059
Er 4.996 6.263 4.066
Tm 0.000 0.000 0.000
Er 6.066 1.649 9.611
```

Properties
Density of states at the Fermi level ... 1.44 states/eV/atom
Space group ... I4/mmm (139)
DFT total energy ... -64.88 eV for the cell shown

No. 4
Here is a relaxed Sm5Er4Tm crystal from Alexandria. Energies are from PBE.

```
10
Lattice="3.444 0.000 -0.802 -1.461 9.344 -6.274 0.888 -2.508 11.609" Properties=species:S:1:pos:R:3 pbc="T T T"
Sm -0.183 6.532 -0.787
Sm 2.218 5.038 1.728
Er 2.984 3.799 5.019
Er 1.938 -1.186 8.322
Sm 0.653 1.798 2.805
Er -0.113 3.037 -0.487
Tm 1.722 0.000 -0.401
Sm 0.991 4.672 -3.538
Sm 3.054 0.304 5.320
Er 0.933 8.022 -3.789
```

Properties
Density of states at the Fermi level ... 1.45 states/eV/atom
Space group ... C2/m (12)
Energy above the most stable polymorph in this dataset ... 0 meV per atom
DFT total energy ... -45.91 eV for the cell shown

Q: What is the formula in the first record?
A: Sm4Er11Tm9

Please write out number 3 again, unchanged.
Here is a relaxed Sm4Er10Tm crystal from Alexandria. Energies are from PBE.

```
15
Lattice="7.159 0.000 3.233 3.580 7.912 1.616 0.323 0.000 8.828" Properties=species:S:1:pos:R:3 pbc="T T T"
Er 4.385 1.650 3.790
Sm 3.579 4.290 1.618
Er 6.677 6.262 9.887
Er 7.321 3.956 7.647
Sm 5.394 7.910 7.142
Sm 5.668 0.002 6.535
Er 3.098 1.649 8.270
Er 1.417 1.650 2.449
Er 9.646 6.262 11.228
Er 7.965 6.263 5.407
Er 3.741 3.956 6.030
Sm 7.483 3.623 12.059
Er 4.996 6.263 4.066
Tm 0.000 0.000 0.000
Er 6.066 1.649 9.611
```

Properties
Density of states at the Fermi level ... 1.44 states/eV/atom
Space group ... I4/mmm (139)
DFT total energy ... -64.88 eV for the cell shown

Q: Which formula does entry 2 have?
A: Sm5Er12Tm2

Q: Number 3 is which compound?
A: Sm4Er10Tm